1.
{"formula": "BaNaSrIn", "functional": "PBE-GGA", "state": "relaxed", "lattice": [[0.0000, 4.2882, 4.2882], [4.2882, 0.0000, 4.2882], [4.2882, 4.2882, 0.0000]], "species": ["Ba", "Na", "Sr", "In"], "frac_coords": [[0.0000, 0.0000, 0.0000], [0.2500, 0.2500, 0.2500], [0.5000, 0.5000, 0.5000], [0.7500, 0.7500, 0.7500]], "formation_enthalpy_0k_mev_per_atom": -226, "mass_density_g_cm3": 3.8, "total_magnetization_mub_per_atom": 0.000, "dos_at_fermi_per_ev_atom": 1.11}

=====

2.
{"formula": "TbMnSi", "functional": "PBE-GGA", "state": "relaxed", "lattice": [[3.9288, 0.0000, 0.0000], [0.0000, 3.9288, 0.0000], [0.0000, 0.0000, 7.1980]], "species": ["Tb", "Tb", "Mn", "Mn", "Si", "Si"], "frac_coords": [[0.2500, 0.2500, 0.1705], [0.7500, 0.7500, 0.8295], [0.2500, 0.7500, 0.5000], [0.7500, 0.2500, 0.5000], [0.2500, 0.2500, 0.6996], [0.7500, 0.7500, 0.3004]], "formation_energy_uncorrected_ev_per_atom": -0.56, "mass_density_g_cm3": 7.2, "total_magnetization_mub_per_atom": 0.633, "dos_at_fermi_per_ev_atom": 0.72}

=====

3.
{"formula": "Ac2SnI3", "functional": "PBE-GGA", "state": "relaxed", "lattice": [[10.4376, -2.5927, 0.0000], [10.4376, 2.5927, 0.0000], [-8.4328, 0.0000, 11.0716]], "species": ["Ac", "Ac", "Ac", "Ac", "Sn", "Sn", "I", "I", "I", "I", "I", "I"], "frac_coords": [[0.1169, 0.1169, 0.4452], [0.3704, 0.3704, 0.1950], [0.6296, 0.6296, 0.8050], [0.8831, 0.8831, 0.5548], [0.0663, 0.0663, 0.6283], [0.9337, 0.9337, 0.3717], [0.1675, 0.1675, 0.0077], [0.2577, 0.2577, 0.3822], [0.4511, 0.4511, 0.7592], [0.5489, 0.5489, 0.2408], [0.7423, 0.7423, 0.6178], [0.8325, 0.8325, 0.9923]], "formation_energy_uncorrected_ev_per_atom": -1.14, "mass_density_g_cm3": 5.3, "total_magnetization_mub_per_atom": 0.000, "dos_at_fermi_per_ev_atom": 0.06}

=====

4.
{"formula": "K2AsC", "functional": "PBE-GGA", "state": "relaxed", "lattice": [[-5.9841, 5.9841, 2.0397], [5.9841, -5.9841, 2.0397], [5.9841, 5.9841, -2.0397]], "species": ["K", "K", "K", "K", "As", "As", "C", "C"], "frac_coords": [[0.3750, 0.1509, 0.2759], [0.8491, 0.1250, 0.2241], [0.8750, 0.0991, 0.7241], [0.9009, 0.6250, 0.7759], [0.2500, 0.7500, 0.5000], [0.5000, 0.5000, 0.0000], [0.0000, 0.0000, 0.0000], [0.7500, 0.2500, 0.5000]], "formation_enthalpy_0k_mev_per_atom": 568, "mass_density_g_cm3": 1.9, "total_magnetization_mub_per_atom": 0.000, "dos_at_fermi_per_ev_atom": 0.45}

=====

5.
{"formula": "La8TbEr2", "functional": "PBE-GGA", "state": "relaxed", "lattice": [[4.6273, -8.4061, 0.0000], [4.6273, 8.4061, 0.0000], [-3.3900, 0.0000, 5.0417]], "species": ["La", "La", "La", "La", "La", "La", "La", "La", "Tb", "Er", "Er"], "frac_coords": [[0.0956, 0.3346, 0.6837], [0.2056, 0.7944, 0.0000], [0.3346, 0.0956, 0.6837], [0.4206, 0.4206, 0.2021], [0.5794, 0.5794, 0.7979], [0.6654, 0.9044, 0.3163], [0.7944, 0.2056, 0.0000], [0.9044, 0.6654, 0.3163], [0.0000, 0.0000, 0.0000], [0.3112, 0.6888, 0.5000], [0.6888, 0.3112, 0.5000]], "formation_enthalpy_0k_mev_per_atom": 125, "mass_density_g_cm3": 6.8, "total_magnetization_mub_per_atom": 0.000, "dos_at_fermi_per_ev_atom": 1.44}

=====

6.
{"formula": "LiMg6Cd", "functional": "PBE-GGA", "state": "relaxed", "lattice": [[-2.3143, 2.3143, 8.1326], [2.3143, -2.3143, 8.1326], [2.3143, 2.3143, -8.1326]], "species": ["Li", "Mg", "Mg", "Mg", "Mg", "Mg", "Mg", "Cd"], "frac_coords": [[0.0000, 0.0000, 0.0000], [0.1171, 0.6171, 0.5000], [0.2478, 0.2478, 0.0000], [0.3829, 0.8829, 0.5000], [0.6171, 0.1171, 0.5000], [0.7522, 0.7522, 0.0000], [0.8829, 0.3829, 0.5000], [0.5000, 0.5000, 0.0000]], "formation_enthalpy_0k_mev_per_atom": -64, "mass_density_g_cm3": 2.5, "total_magnetization_mub_per_atom": 0.000, "dos_at_fermi_per_ev_atom": 0.28}

=====

7.
{"formula": "Cs6Au2I2Cl", "functional": "PBE-GGA", "state": "relaxed", "lattice": [[4.6403, -7.9224, 0.0000], [4.6403, 7.9224, 0.0000], [-3.1467, 0.0000, 8.8030]], "species": ["Cs", "Cs", "Cs", "Cs", "Cs", "Cs", "Au", "Au", "I", "I", "Cl"], "frac_coords": [[0.0759, 0.4029, 0.2308], [0.2433, 0.2433, 0.7766], [0.4029, 0.0759, 0.2308], [0.5971, 0.9241, 0.7692], [0.7567, 0.7567, 0.2234], [0.9241, 0.5971, 0.7692], [0.3331, 0.6669, 0.0000], [0.6669, 0.3331, 0.0000], [0.1676, 0.8324, 0.5000], [0.8324, 0.1676, 0.5000], [0.0000, 0.0000, 0.0000]], "formation_energy_uncorrected_ev_per_atom": -1.02, "mass_density_g_cm3": 3.8, "total_magnetization_mub_per_atom": 0.068, "dos_at_fermi_per_ev_atom": 0.30}

=====

8.
{"formula": "LaPm2Ir2", "functional": "PBE-GGA", "state": "relaxed", "lattice": [[2.0074, -6.7413, 0.0000], [2.0074, 6.7413, 0.0000], [0.0000, 0.0000, 10.0445]], "species": ["La", "La", "Pm", "Pm", "Pm", "Pm", "Ir", "Ir", "Ir", "Ir"], "frac_coords": [[0.0970, 0.9030, 0.7500], [0.9030, 0.0970, 0.2500], [0.3559, 0.6441, 0.5671], [0.3559, 0.6441, 0.9329], [0.6441, 0.3559, 0.0671], [0.6441, 0.3559, 0.4329], [0.0000, 0.0000, 0.0000], [0.0000, 0.0000, 0.5000], [0.2485, 0.7515, 0.2500], [0.7515, 0.2485, 0.7500]], "formation_enthalpy_0k_mev_per_atom": -619, "mass_density_g_cm3": 9.9, "total_magnetization_mub_per_atom": 0.000, "dos_at_fermi_per_ev_atom": 0.64}

=====

9.
{"formula": "LiIr2Ru", "functional": "PBE-GGA", "state": "relaxed", "lattice": [[-1.8758, 1.8758, 3.8692], [1.8758, -1.8758, 3.8692], [1.8758, 1.8758, -3.8692]], "species": ["Li", "Ir", "Ir", "Ru"], "frac_coords": [[0.0000, 0.0000, 0.0000], [0.5000, 0.5000, 0.0000], [0.7500, 0.2500, 0.5000], [0.2500, 0.7500, 0.5000]], "formation_enthalpy_0k_mev_per_atom": 30, "mass_density_g_cm3": 15.0, "total_magnetization_mub_per_atom": 0.000, "dos_at_fermi_per_ev_atom": 1.16}

=====

10.
{"formula": "Cd3PdCl", "functional": "PBE-GGA", "state": "relaxed", "lattice": [[5.2262, 0.0000, 0.0000], [0.0000, 5.2262, 0.0000], [0.0000, 0.0000, 5.2262]], "species": ["Cd", "Cd", "Cd", "Pd", "Cl"], "frac_coords": [[0.0000, 0.0000, 0.5000], [0.0000, 0.5000, 0.0000], [0.5000, 0.0000, 0.0000], [0.0000, 0.0000, 0.0000], [0.5000, 0.5000, 0.5000]], "formation_energy_uncorrected_ev_per_atom": -0.18, "mass_density_g_cm3": 5.6, "total_magnetization_mub_per_atom": 0.000, "dos_at_fermi_per_ev_atom": 0.31}

=====

11.
{"formula": "GaAgS", "functional": "PBE-GGA", "state": "relaxed", "lattice": [[-2.2418, 2.9086, 5.4055], [2.2418, -2.9086, 5.4055], [2.2418, 2.9086, -5.4055]], "species": ["Ga", "Ga", "Ag", "Ag", "S", "S"], "frac_coords": [[0.2205, 0.0000, 0.2205], [0.7795, 0.0000, 0.7795], [0.1210, 0.6210, 0.5000], [0.8790, 0.3790, 0.5000], [0.3469, 0.8469, 0.5000], [0.6531, 0.1531, 0.5000]], "formation_energy_uncorrected_ev_per_atom": -0.08, "mass_density_g_cm3": 4.9, "total_magnetization_mub_per_atom": 0.000, "dos_at_fermi_per_ev_atom": 0.25}

=====

12.
{"formula": "DyYGaGe", "functional": "PBE-GGA", "state": "relaxed", "lattice": [[0.0000, 3.5801, 3.5801], [3.5801, 0.0000, 3.5801], [3.5801, 3.5801, 0.0000]], "species": ["Dy", "Y", "Ga", "Ge"], "frac_coords": [[0.0000, 0.0000, 0.0000], [0.5000, 0.5000, 0.5000], [0.7500, 0.7500, 0.7500], [0.2500, 0.2500, 0.2500]], "formation_enthalpy_0k_mev_per_atom": -585, "mass_density_g_cm3": 7.1, "total_magnetization_mub_per_atom": 0.000, "dos_at_fermi_per_ev_atom": 0.60}

=====

13.
{"formula": "CuReI2O", "functional": "PBE-GGA", "state": "relaxed", "lattice": [[5.5588, 0.0000, 0.0000], [0.0000, 5.5588, 0.0000], [0.0000, 0.0000, 3.7514]], "species": ["Cu", "Re", "I", "I", "O"], "frac_coords": [[0.0000, 0.0000, 0.0000], [0.5000, 0.5000, 0.5000], [0.0000, 0.5000, 0.5000], [0.5000, 0.0000, 0.5000], [0.5000, 0.5000, 0.0000]], "formation_energy_uncorrected_ev_per_atom": 0.16, "mass_density_g_cm3": 7.4, "total_magnetization_mub_per_atom": 0.000, "dos_at_fermi_per_ev_atom": 0.53}

=====

14.
{"formula": "CsSnSe2N", "functional": "PBE-GGA", "state": "relaxed", "lattice": [[5.6074, 0.0000, 0.0000], [0.0000, 5.6074, 0.0000], [0.0000, 0.0000, 4.4128]], "species": ["Cs", "Sn", "Se", "Se", "N"], "frac_coords": [[0.0000, 0.0000, 0.0000], [0.5000, 0.5000, 0.5000], [0.0000, 0.5000, 0.5000], [0.5000, 0.0000, 0.5000], [0.5000, 0.5000, 0.0000]], "formation_energy_uncorrected_ev_per_atom": 0.24, "mass_density_g_cm3": 5.1, "total_magnetization_mub_per_atom": 0.449, "dos_at_fermi_per_ev_atom": 0.86}

=====

15.
{"formula": "CaAc5La2Sm", "functional": "PBE-GGA", "state": "relaxed", "lattice": [[-4.3658, 4.3658, 9.9980], [4.3658, -4.3658, 9.9980], [4.3658, 4.3658, -9.9980]], "species": ["Ca", "Ca", "Ac", "Ac", "Ac", "Ac", "Ac", "Ac", "Ac", "Ac", "Ac", "Ac", "La", "La", "La", "La", "Sm", "Sm"], "frac_coords": [[0.2500, 0.7500, 0.5000], [0.7500, 0.2500, 0.5000], [0.0000, 0.0000, 0.0000], [0.0915, 0.5915, 0.9619], [0.1296, 0.0915, 0.5000], [0.3704, 0.8704, 0.9619], [0.4085, 0.3704, 0.5000], [0.5000, 0.5000, 0.0000], [0.5915, 0.6296, 0.5000], [0.6296, 0.1296, 0.0381], [0.8704, 0.9085, 0.5000], [0.9085, 0.4085, 0.0381], [0.1191, 0.3809, 0.5000], [0.3809, 0.8809, 0.2619], [0.6191, 0.1191, 0.7381], [0.8809, 0.6191, 0.5000], [0.2500, 0.2500, 0.0000], [0.7500, 0.7500, 0.0000]], "formation_enthalpy_0k_mev_per_atom": 242, "mass_density_g_cm3": 7.0, "total_magnetization_mub_per_atom": 0.000, "dos_at_fermi_per_ev_atom": 1.58}

=====

16.
{"formula": "Al2InCu2", "functional": "PBE-GGA", "state": "relaxed", "lattice": [[7.4759, 0.0000, 0.0000], [0.0000, 7.4759, 0.0000], [0.0000, 0.0000, 2.8717]], "species": ["Al", "Al", "Al", "Al", "In", "In", "Cu", "Cu", "Cu", "Cu"], "frac_coords": [[0.1682, 0.3318, 0.0000], [0.3318, 0.8318, 0.0000], [0.6682, 0.1682, 0.0000], [0.8318, 0.6682, 0.0000], [0.0000, 0.0000, 0.5000], [0.5000, 0.5000, 0.5000], [0.1236, 0.6236, 0.5000], [0.3764, 0.1236, 0.5000], [0.6236, 0.8764, 0.5000], [0.8764, 0.3764, 0.5000]], "formation_enthalpy_0k_mev_per_atom": 5, "mass_density_g_cm3": 6.1, "total_magnetization_mub_per_atom": 0.000, "dos_at_fermi_per_ev_atom": 0.30}

=====

17.
{"formula": "BaTlZn", "functional": "PBE-GGA", "state": "relaxed", "lattice": [[4.8899, 0.0000, 0.0000], [0.0357, 5.4347, 0.0000], [0.0054, 2.7161, 7.5043]], "species": ["Ba", "Ba", "Tl", "Tl", "Zn", "Zn"], "frac_coords": [[0.0000, 0.0000, 0.0000], [0.0015, 0.2664, 0.4675], [0.5009, 0.4506, 0.0977], [0.5010, 0.8162, 0.3697], [0.2511, 0.6240, 0.7338], [0.7485, 0.6415, 0.7335]], "formation_enthalpy_0k_mev_per_atom": -206, "mass_density_g_cm3": 6.8, "total_magnetization_mub_per_atom": 0.000, "dos_at_fermi_per_ev_atom": 0.80}

=====

18.
{"formula": "Mg3In2Ag8", "functional": "PBE-GGA", "state": "relaxed", "lattice": [[2.7541, 1.5901, 10.3183], [-2.7541, 1.5901, 10.3183], [0.0000, -3.1801, 10.3183]], "species": ["Mg", "Mg", "Mg", "In", "In", "Ag", "Ag", "Ag", "Ag", "Ag", "Ag", "Ag", "Ag"], "frac_coords": [[0.0000, 0.0000, 0.0000], [0.1847, 0.1847, 0.1847], [0.8153, 0.8153, 0.8153], [0.3621, 0.3621, 0.3621], [0.6379, 0.6379, 0.6379], [0.2245, 0.7266, 0.7266], [0.2730, 0.2730, 0.2730], [0.2734, 0.2734, 0.7755], [0.2734, 0.7755, 0.2734], [0.7266, 0.2245, 0.7266], [0.7266, 0.7266, 0.2245], [0.7270, 0.7270, 0.7270], [0.7755, 0.2734, 0.2734]], "formation_enthalpy_0k_mev_per_atom": -9, "mass_density_g_cm3": 7.1, "total_magnetization_mub_per_atom": 0.000, "dos_at_fermi_per_ev_atom": 0.40}

=====

19.
{"formula": "NaCaInAu", "functional": "PBE-GGA", "state": "relaxed", "lattice": [[0.0000, 3.5930, 3.5930], [3.5930, 0.0000, 3.5930], [3.5930, 3.5930, 0.0000]], "species": ["Na", "Ca", "In", "Au"], "frac_coords": [[0.0000, 0.0000, 0.0000], [0.2500, 0.2500, 0.2500], [0.7500, 0.7500, 0.7500], [0.5000, 0.5000, 0.5000]], "formation_enthalpy_0k_mev_per_atom": -413, "mass_density_g_cm3": 6.7, "total_magnetization_mub_per_atom": 0.000, "dos_at_fermi_per_ev_atom": 0.45}

=====

20.
{"formula": "YIn2Te", "functional": "PBE-GGA", "state": "relaxed", "lattice": [[4.1418, 0.0000, 0.0000], [0.0000, 4.1418, 0.0000], [0.0000, 0.0000, 6.6620]], "species": ["Y", "In", "In", "Te"], "frac_coords": [[0.0000, 0.0000, 0.0000], [0.0000, 0.0000, 0.4981], [0.5000, 0.5000, 0.3025], [0.5000, 0.5000, 0.8380]], "formation_energy_uncorrected_ev_per_atom": -0.55, "mass_density_g_cm3": 6.5, "total_magnetization_mub_per_atom": 0.000, "dos_at_fermi_per_ev_atom": 0.52}